## AcPrH6Rh2 (GGA-PBE)

Data for a geometry-optimized AcPrH6Rh2 structure.

It has space group C2/c (No. 15), with a = 7.957 Å, b = 9.828 Å, c = 6.814 Å, α = 90.00°, β = 111.40° and γ = 90.00°. The distinct sites, in fractional coordinates, are Ac at (0.000, 0.149, 0.250), Pr at (0.000, 0.406, 0.750), H at (0.079, 0.384, 0.123), H at (0.174, 0.250, 0.617), H at (0.188, 0.033, 0.013) and Rh at (0.192, 0.135, 0.814).

The final energy is -4.908 eV/atom.